[1]
# ScTcPH2

ScTcPH2 after structural relaxation (PBE, Alexandria via LeMat-Bulk).

a b c (Å): 3.6254 5.1125 6.0040
angles (deg): 90.00 90.00 110.77
Positions (direct):
H: 0.1814 0.3628 0.9370
Sc: 0.7153 0.4305 0.7500
H: 0.8186 0.6372 0.0630
H: 0.1814 0.3628 0.5630
Tc: 0.0000 0.0000 0.0000
P: 0.4266 0.8533 0.7500
P: 0.5734 0.1467 0.2500
Tc: 0.0000 0.0000 0.5000
H: 0.8186 0.6372 0.4370
Sc: 0.2847 0.5695 0.2500

Properties
- calculated density (g cm⁻³) = 5.62
- calculated total energy (eV/atom) = -6.414
- SG = Cmcm

***

[2]
# Sc2Ti4P3H2

Sc2Ti4P3H2 after structural relaxation (PBE, Alexandria via LeMat-Bulk).

a b c (Å): 3.8192 3.8192 10.8477
angles (deg): 100.14 100.14 90.00
Positions (direct):
Sc: 0.2972 0.2972 0.5945
P: 0.1688 0.1688 0.3376
P: 0.8312 0.8312 0.6624
Ti: 0.0804 0.5804 0.1607
Sc: 0.7028 0.7028 0.4055
Ti: 0.4196 0.9196 0.8393
Ti: 0.9196 0.4196 0.8393
H: 0.5694 0.5694 0.1388
P: 0.0000 0.0000 0.0000
Ti: 0.5804 0.0804 0.1607
H: 0.4306 0.4306 0.8612

Properties
- calculated density (g cm⁻³) = 4.08
- calculated total energy (eV/atom) = -7.015
- SG = I4/mmm

***

[3]
# ScTiPH

ScTiPH after structural relaxation (PBE, Alexandria via LeMat-Bulk).

a b c (Å): 3.6980 3.6980 7.6478
angles (deg): 90.00 90.00 90.00
Positions (direct):
Ti: 0.0000 0.0000 0.0000
H: 0.5000 0.5000 0.5000
Ti: 0.5000 0.5000 0.0000
H: 0.0000 0.0000 0.5000
Sc: 0.5000 0.0000 0.6435
P: 0.0000 0.5000 0.7748
Sc: 0.0000 0.5000 0.3565
P: 0.5000 0.0000 0.2252

Properties
- calculated density (g cm⁻³) = 3.96
- calculated total energy (eV/atom) = -6.708
- SG = P4/nmm

***

[4]
# PH2Se

PH2Se after structural relaxation (PBE, Alexandria via LeMat-Bulk).

a b c (Å): 4.0179 4.0179 6.1741
angles (deg): 71.01 71.01 90.00
Positions (direct):
H: 0.3750 0.1250 0.2500
H: 0.3750 0.6250 0.7500
P: 0.2500 0.7500 0.5000
Se: 0.0000 0.0000 0.0000
Se: 0.7500 0.2500 0.5000
H: 0.8750 0.6250 0.7500
H: 0.3750 0.6250 0.2500
P: 0.5000 0.5000 0.0000

Properties
- calculated density (g cm⁻³) = 4.20
- calculated total energy (eV/atom) = -3.319
- SG = I4_1/amd

***

[5]
# PHSe

PHSe after structural relaxation (PBE, Alexandria via LeMat-Bulk).

a b c (Å): 3.5588 12.7799 6.1867
angles (deg): 97.03 67.50 94.74
Positions (direct):
Se: 0.7221 0.1090 0.7268
P: 0.4892 0.2114 0.0746
H: 0.0769 0.1829 0.6135
Se: 0.3414 0.3713 0.6802
P: 0.5108 0.7886 0.9254
H: 0.9231 0.8171 0.3865
H: 0.6108 0.2776 0.6028
Se: 0.6586 0.6287 0.3198
Se: 0.2779 0.8910 0.2732
P: 0.9629 0.6736 0.9467
H: 0.3892 0.7224 0.3972
P: 0.0371 0.3264 0.0533

Properties
- calculated density (g cm⁻³) = 2.86
- calculated total energy (eV/atom) = -4.020
- SG = P-1

***

[6]
# PH3Se

PH3Se after structural relaxation (PBE, Alexandria via LeMat-Bulk).

a b c (Å): 4.7823 5.6470 6.2260
angles (deg): 83.29 89.99 89.47
Positions (direct):
Se: 0.8264 0.8779 0.1681
H: 0.9905 0.9379 0.6651
H: 0.3901 0.9711 0.8448
H: 0.3948 0.9597 0.4854
Se: 0.3286 0.4744 0.7329
P: 0.2692 0.8516 0.6792
H: 0.8945 0.3804 0.0574
H: 0.8972 0.3925 0.4168
P: 0.7714 0.5011 0.2224
H: 0.4936 0.4171 0.2355

Properties
- calculated density (g cm⁻³) = 2.25
- calculated total energy (eV/atom) = -3.819
- SG = P1

***

[7]
# PHSe2

PHSe2 after structural relaxation (PBE, Alexandria via LeMat-Bulk).

a b c (Å): 4.4290 4.4290 4.4290
angles (deg): 60.00 60.00 60.00
Positions (direct):
H: 0.0000 0.0000 0.0000
Se: 0.2500 0.2500 0.2500
Se: 0.7500 0.7500 0.7500
P: 0.5000 0.5000 0.5000

Properties
- calculated density (g cm⁻³) = 5.13
- calculated total energy (eV/atom) = -3.114
- SG = Fm-3m

***

[8]
# PHSe2

PHSe2 after structural relaxation (PBE, Alexandria via LeMat-Bulk).

a b c (Å): 4.2781 7.3576 8.3113
angles (deg): 126.10 97.36 95.30
Positions (direct):
Se: 0.4137 0.5026 0.2804
P: 0.8894 0.3523 0.1278
P: 0.8203 0.9852 0.0140
Se: 0.8194 0.3039 0.8273
Se: 0.2961 0.8349 0.8614
H: 0.2112 0.1902 0.3889
H: 0.4989 0.1470 0.7527
Se: 0.8906 0.0336 0.3145

Properties
- calculated density (g cm⁻³) = 3.08
- calculated total energy (eV/atom) = -3.892
- SG = P-1

***

[9]
# PHSe2

PHSe2 after structural relaxation (PBE, Alexandria via LeMat-Bulk).

a b c (Å): 8.4426 8.4426 8.4426
angles (deg): 20.04 20.04 20.04
Positions (direct):
Se: 0.8960 0.8960 0.8960
P: 0.0000 0.0000 0.0000
Se: 0.1040 0.1040 0.1040
H: 0.5000 0.5000 0.5000

Properties
- calculated density (g cm⁻³) = 5.10
- calculated total energy (eV/atom) = -3.159
- SG = R-3m

***

[10]
# P2H8Se

P2H8Se after structural relaxation (PBE, Alexandria via LeMat-Bulk).

a b c (Å): 6.1148 6.1148 6.1353
angles (deg): 89.77 60.06 119.68
Positions (direct):
H: 0.3057 0.4555 0.8473
P: 0.5013 0.7495 0.7492
H: 0.6972 0.8471 0.8473
H: 0.3028 0.1529 0.1527
H: 0.3030 0.1526 0.5444
H: 0.3047 0.8481 0.8471
H: 0.6953 0.1519 0.1529
H: 0.6970 0.8474 0.4556
H: 0.6943 0.5445 0.1527
Se: 0.0000 0.0000 0.0000
P: 0.4987 0.2505 0.2508

Properties
- calculated density (g cm⁻³) = 1.52
- calculated total energy (eV/atom) = -3.663
- SG = C2/m

***

[11]
# P2HSe6

P2HSe6 after structural relaxation (PBE, Alexandria via LeMat-Bulk).

a b c (Å): 6.0009 10.4624 10.4624
angles (deg): 90.55 63.13 63.13
Positions (direct):
P: 0.6490 0.3480 0.1913
H: 0.2500 0.0908 0.9092
Se: 0.8700 0.1795 0.9815
P: 0.8510 0.8087 0.6520
H: 0.7500 0.9092 0.0908
Se: 0.1300 0.8205 0.0185
Se: 0.4130 0.2703 0.3929
Se: 0.3917 0.5646 0.1638
Se: 0.9130 0.3929 0.2703
Se: 0.5870 0.7297 0.6071
Se: 0.8917 0.1638 0.5646
Se: 0.3700 0.9815 0.1795
Se: 0.6300 0.0185 0.8205
Se: 0.6083 0.4354 0.8362
Se: 0.0870 0.6071 0.7297
P: 0.1490 0.1913 0.3480
P: 0.3510 0.6520 0.8087
Se: 0.1083 0.8362 0.4354

Properties
- calculated density (g cm⁻³) = 3.54
- calculated total energy (eV/atom) = -3.813
- SG = C2/c

***

[12]
# PHSe4

PHSe4 after structural relaxation (PBE, Alexandria via LeMat-Bulk).

a b c (Å): 8.2581 6.7916 9.4651
angles (deg): 93.82 101.30 132.05
Positions (direct):
Se: 0.6849 0.2192 0.0869
Se: 0.6912 0.8088 0.3491
P: 0.1411 0.8911 0.7823
Se: 0.1580 0.5403 0.3491
H: 0.5981 0.3481 0.6962
P: 0.8589 0.1089 0.2177
Se: 0.9020 0.8677 0.0869
Se: 0.8420 0.4597 0.6509
Se: 0.3151 0.7808 0.9131
Se: 0.0980 0.1323 0.9131
H: 0.4019 0.6519 0.3038
Se: 0.3088 0.1912 0.6509

Properties
- calculated density (g cm⁻³) = 3.11
- calculated total energy (eV/atom) = -3.718
- SG = C2/c

***

[13]
# PHSe2

PHSe2 after structural relaxation (PBE, Alexandria via LeMat-Bulk).

a b c (Å): 6.7356 6.7356 6.7356
angles (deg): 32.95 32.95 32.95
Positions (direct):
Se: 0.9077 0.9077 0.9077
H: 0.0000 0.0000 0.0000
Se: 0.0923 0.0923 0.0923
P: 0.5000 0.5000 0.5000

Properties
- calculated density (g cm⁻³) = 3.92
- calculated total energy (eV/atom) = -3.738
- SG = R-3m

***

[14]
# P2H6Se

P2H6Se after structural relaxation (PBE, Alexandria via LeMat-Bulk).

a b c (Å): 7.3009 7.3009 5.4766
angles (deg): 48.20 48.20 60.00
Positions (direct):
H: 0.3213 0.0343 0.6101
P: 0.5431 0.5431 0.3708
H: 0.5854 0.2813 0.5478
H: 0.0343 0.3213 0.6101
H: 0.5854 0.5854 0.5478
P: 0.2026 0.2026 0.3922
H: 0.0343 0.0343 0.6101
Se: 0.7466 0.7466 0.7602
H: 0.2813 0.5854 0.5478

Properties
- calculated density (g cm⁻³) = 1.51
- calculated total energy (eV/atom) = -3.869
- SG = R3m

***

[15]
# PH3Se

PH3Se after structural relaxation (PBE, Alexandria via LeMat-Bulk).

a b c (Å): 3.5765 3.5765 3.5765
angles (deg): 90.00 90.00 90.00
Positions (direct):
Se: 0.5000 0.5000 0.5000
H: 0.0000 0.0000 0.5000
H: 0.5000 0.0000 0.0000
P: 0.0000 0.0000 0.0000
H: 0.0000 0.5000 0.0000

Properties
- calculated density (g cm⁻³) = 4.10
- calculated total energy (eV/atom) = -3.035
- SG = Pm-3m

***

[16]
# PH3Se

PH3Se after structural relaxation (PBE, Alexandria via LeMat-Bulk).

a b c (Å): 3.6825 3.6825 3.6825
angles (deg): 90.00 90.00 90.00
Positions (direct):
H: 0.5000 0.0000 0.0000
P: 0.5000 0.5000 0.5000
H: 0.0000 0.0000 0.5000
H: 0.0000 0.5000 0.0000
Se: 0.0000 0.0000 0.0000

Properties
- calculated density (g cm⁻³) = 3.76
- calculated total energy (eV/atom) = -2.754
- SG = Pm-3m

***

[17]
# PH3Se

PH3Se after structural relaxation (PBE, Alexandria via LeMat-Bulk).

a b c (Å): 5.6737 6.3515 4.6648
angles (deg): 89.99 90.00 90.00
Positions (direct):
Se: 0.9128 0.2006 0.9837
H: 0.4257 0.3774 0.0705
Se: 0.4128 0.7011 0.6635
H: 0.5502 0.2010 0.4586
H: 0.4254 0.0245 0.0708
H: 0.9254 0.8770 0.5764
H: 0.0502 0.7005 0.1886
P: 0.5639 0.2009 0.1550
H: 0.9258 0.5241 0.5768
P: 0.0640 0.7007 0.4922

Properties
- calculated density (g cm⁻³) = 2.23
- calculated total energy (eV/atom) = -3.824
- SG = Pmn2_1

***

[18]
# PHSe2

PHSe2 after structural relaxation (PBE, Alexandria via LeMat-Bulk).

a b c (Å): 6.0417 6.0417 5.6987
angles (deg): 57.99 57.99 90.00
Positions (direct):
Se: 0.5984 0.1250 0.2500
Se: 0.1516 0.6250 0.2500
Se: 0.3750 0.4016 0.7500
Se: 0.8750 0.8484 0.7500
P: 0.7500 0.2500 0.5000
H: 0.2500 0.7500 0.5000
H: 0.5000 0.5000 0.0000
P: 0.0000 0.0000 0.0000

Properties
- calculated density (g cm⁻³) = 4.58
- calculated total energy (eV/atom) = -3.417
- SG = I-42d

***

[19]
# PHSe

PHSe after structural relaxation (PBE, Alexandria via LeMat-Bulk).

a b c (Å): 4.9734 5.8319 9.3023
angles (deg): 90.00 90.00 115.24
Positions (direct):
P: 0.0463 0.0927 0.1795
H: 0.2105 0.9211 0.2500
Se: 0.3347 0.6694 0.8764
P: 0.4537 0.9073 0.6795
Se: 0.1653 0.3306 0.3764
P: 0.5463 0.0927 0.3205
H: 0.7895 0.0789 0.7500
P: 0.9537 0.9073 0.8205
H: 0.7105 0.9211 0.2500
H: 0.2895 0.0789 0.7500
Se: 0.8347 0.6694 0.6236
Se: 0.6653 0.3306 0.1236

Properties
- calculated density (g cm⁻³) = 3.02
- calculated total energy (eV/atom) = -3.810
- SG = Cmce

***

[20]
# PH2Se5

PH2Se5 after structural relaxation (PBE, Alexandria via LeMat-Bulk).

a b c (Å): 6.9526 6.8743 6.5484
angles (deg): 111.15 122.14 82.90
Positions (direct):
Se: 0.2952 0.7219 0.8984
H: 0.7521 0.4287 0.7260
Se: 0.5638 0.2088 0.9050
P: 0.9867 0.8350 0.9428
H: 0.2388 0.8939 0.4659
Se: 0.2255 0.3464 0.7361
Se: 0.0295 0.7450 0.2683
Se: 0.6854 0.5973 0.6115

Properties
- calculated density (g cm⁻³) = 2.89
- calculated total energy (eV/atom) = -3.599
- SG = P1

***

[21]
# PH2Se

PH2Se after structural relaxation (PBE, Alexandria via LeMat-Bulk).

a b c (Å): 4.2787 4.6935 5.0693
angles (deg): 116.65 114.96 90.00
Positions (direct):
Se: 0.2825 0.7191 0.5650
P: 0.7806 0.5080 0.5611
H: 0.6411 0.1840 0.2821
H: 0.9163 0.4431 0.8326

Properties
- calculated density (g cm⁻³) = 2.32
- calculated total energy (eV/atom) = -3.887
- SG = Cm

***

[22]
# PH3Se4

PH3Se4 after structural relaxation (PBE, Alexandria via LeMat-Bulk).

a b c (Å): 6.7423 6.1690 9.2737
angles (deg): 90.00 90.00 90.00
Positions (direct):
H: 0.1053 0.4325 0.1723
Se: 0.9236 0.7538 0.0000
P: 0.4486 0.8995 0.5000
Se: 0.1431 0.7320 0.5000
Se: 0.1216 0.1942 0.2025
Se: 0.1216 0.1942 0.7975
H: 0.1053 0.4325 0.8277
Se: 0.6431 0.2680 0.0000
H: 0.6053 0.5675 0.6723
Se: 0.4236 0.2462 0.5000
P: 0.9486 0.1005 0.0000
H: 0.5460 0.0516 0.0000
Se: 0.6216 0.8058 0.2975
H: 0.6053 0.5675 0.3277
Se: 0.6216 0.8058 0.7025
H: 0.0460 0.9484 0.5000

Properties
- calculated density (g cm⁻³) = 3.01
- calculated total energy (eV/atom) = -3.665
- SG = Pmn2_1

***

[23]
# P2H2Se

P2H2Se after structural relaxation (PBE, Alexandria via LeMat-Bulk).

a b c (Å): 5.6660 19.2432 9.9534
angles (deg): 90.00 161.29 90.00
Positions (direct):
P: 0.9225 0.0013 0.6376
P: 0.4632 0.6083 0.5874
H: 0.7438 0.7103 0.9356
H: 0.7562 0.2103 0.0644
H: 0.7270 0.1038 0.8526
H: 0.2562 0.2897 0.0644
H: 0.2438 0.7897 0.9356
P: 0.4225 0.4987 0.6376
H: 0.2270 0.3962 0.8526
H: 0.7730 0.6038 0.1474
P: 0.5368 0.3917 0.4126
H: 0.2730 0.8962 0.1474
P: 0.9632 0.8917 0.5874
P: 0.0775 0.9987 0.3624
Se: 0.4977 0.1821 0.5005
P: 0.5775 0.5013 0.3624
P: 0.0368 0.1083 0.4126
Se: 0.9977 0.3179 0.5005
Se: 0.5023 0.8179 0.4995
Se: 0.0023 0.6821 0.4995

Properties
- calculated density (g cm⁻³) = 2.73
- calculated total energy (eV/atom) = -4.149
- SG = P2_1/c